# 1
Entry from the Alexandria database: crystalline CeThHg3 at its relaxed geometry (PBE-GGA).

a b c (Å): 5.1894 17.2398 6.3292
angles (deg): 90.00 90.00 90.00
With the nearest neighbours (Å) after each atom.
Space group Cmcm (No. 63)
One atom of each set of equivalent atoms:
1 Ce 0.0000 0.1060 0.2500 x4  5 Hg 3.13-3.26
2 Th 0.0000 0.3249 0.2500 x4  8 Hg 3.11-3.41
3 Hg 0.0000 0.0757 0.7500 x4  2 Th 3.11, 3 Ce 3.13-3.21, 4 Hg 3.31
4 Hg 0.0000 0.2795 0.7500 x4  4 Th 3.16-3.26, 2 Ce 3.26, 1 Hg 3.51
5 Hg 0.0000 0.5000 0.0000 x4  6 Hg 3.16-3.31, 2 Th 3.41

Properties
* energy: -3.022 eV per atom
* mass density: 11.4 g cm⁻³
* energy relative to the lowest polymorph listed for this composition: 10.50 kJ/mol of atoms

# 2
Entry from the Alexandria database: crystalline BaMg2In at its relaxed geometry (PBE-GGA).

a b c (Å): 10.4095 4.1320 6.4025
angles (deg): 90.00 106.59 90.00
With the nearest neighbours (Å) after each atom.
Space group C2/m (No. 12)
One atom of each set of equivalent atoms:
1 Ba 0.0000 0.0000 0.0000 x2  6 Mg 3.58-3.71, 4 In 3.81
2 Mg 0.2218 0.0000 0.6635 x4  3 In 3.05-3.35, 2 Mg 3.11
3 In 0.0000 0.5000 0.5000 x2  6 Mg 3.05-3.35

Properties
* energy: -2.033 eV per atom
* mass density: 3.8 g cm⁻³

# 3
Entry from the Alexandria database: crystalline Li2PrSnAu2 at its relaxed geometry (PBE-GGA).

a b c (Å): 4.6244 4.6244 6.7089
angles (deg): 90.00 90.00 120.00
With the nearest neighbours (Å) after each atom.
Space group P-3m1 (No. 164)
One atom of each set of equivalent atoms:
1 Li 0.3333 0.6667 0.1718 x2  4 Au 2.71-2.75, 3 Sn 2.91
2 Pr 0.0000 0.0000 0.5000 x1  6 Au 3.19, 2 Sn 3.35, 6 Li 3.46
3 Sn 0.0000 0.0000 0.0000 x1  6 Li 2.91, 6 Au 3.11
4 Au 0.3333 0.6667 0.7613 x2  4 Li 2.71-2.75

Properties
* energy: -3.822 eV per atom
* mass density: 8.9 g cm⁻³